(1)
! Tm12GaAu6 GGA-PBE relaxed; values from VASP
&SYSTEM
  ibrav = 0, nat = 19, ntyp = 3
/
ATOMIC_SPECIES
Tm 168.93 Tm.upf
Ga 69.72 Ga.upf
Au 196.97 Au.upf
ATOMIC_POSITIONS crystal
Tm 0.063 0.678 0.932
Tm 0.068 0.937 0.322
Tm 0.177 0.426 0.579
Tm 0.322 0.068 0.937
Tm 0.421 0.823 0.574
Tm 0.426 0.579 0.177
Tm 0.574 0.421 0.823
Tm 0.579 0.177 0.426
Tm 0.678 0.932 0.063
Tm 0.823 0.574 0.421
Tm 0.932 0.063 0.678
Tm 0.937 0.322 0.068
Ga 0.000 0.000 0.000
Au 0.137 0.614 0.307
Au 0.307 0.137 0.614
Au 0.386 0.693 0.863
Au 0.614 0.307 0.137
Au 0.693 0.863 0.386
Au 0.863 0.386 0.693
CELL_PARAMETERS angstrom
6.424 3.709 3.854
-6.424 3.709 3.854
0.000 -7.418 3.854
! * DFT formation energy: -0.4456 eV/atom

(2)
! Tm2Ga3Au2 GGA-PBE relaxed; values from VASP
&SYSTEM
  ibrav = 0, nat = 14, ntyp = 3
/
ATOMIC_SPECIES
Tm 168.93 Tm.upf
Ga 69.72 Ga.upf
Au 196.97 Au.upf
ATOMIC_POSITIONS crystal
Tm 0.057 0.943 0.750
Tm 0.155 0.845 0.250
Tm 0.845 0.155 0.750
Tm 0.943 0.057 0.250
Ga 0.228 0.772 0.750
Ga 0.445 0.555 0.580
Ga 0.445 0.555 0.920
Ga 0.555 0.445 0.080
Ga 0.555 0.445 0.420
Ga 0.772 0.228 0.250
Au 0.318 0.682 0.051
Au 0.318 0.682 0.449
Au 0.682 0.318 0.551
Au 0.682 0.318 0.949
CELL_PARAMETERS angstrom
2.068 -9.436 0.000
2.068 9.436 0.000
0.000 0.000 7.254
! * DFT formation energy: -0.6311 eV/atom
! * ΔE to the lowest computed polymorph: 2.3 kJ/mol of atoms

(3)
! Tm4GaAu3 GGA-PBE relaxed; values from VASP
&SYSTEM
  ibrav = 0, nat = 8, ntyp = 3
/
ATOMIC_SPECIES
Tm 168.93 Tm.upf
Ga 69.72 Ga.upf
Au 196.97 Au.upf
ATOMIC_POSITIONS crystal
Tm 0.000 0.000 0.000
Tm 0.000 0.500 0.280
Tm 0.500 0.000 0.495
Tm 0.500 0.500 0.783
Ga 0.000 0.000 0.724
Au 0.000 0.500 0.557
Au 0.500 0.000 0.227
Au 0.500 0.500 0.052
CELL_PARAMETERS angstrom
3.655 0.000 0.000
0.000 4.615 0.000
0.000 0.000 10.938
! * DFT formation energy: -0.8142 eV/atom

(4)
! Tm4GaAu GGA-PBE relaxed; values from VASP
&SYSTEM
  ibrav = 0, nat = 12, ntyp = 3
/
ATOMIC_SPECIES
Tm 168.93 Tm.upf
Ga 69.72 Ga.upf
Au 196.97 Au.upf
ATOMIC_POSITIONS crystal
Tm 0.061 0.939 0.500
Tm 0.191 0.809 0.204
Tm 0.216 0.784 0.689
Tm 0.377 0.623 0.423
Tm 0.623 0.377 0.923
Tm 0.784 0.216 0.189
Tm 0.809 0.191 0.704
Tm 0.939 0.061 0.000
Ga 0.339 0.661 0.950
Ga 0.661 0.339 0.450
Au 0.071 0.929 0.990
Au 0.929 0.071 0.490
CELL_PARAMETERS angstrom
2.532 -10.663 0.000
2.532 10.663 0.000
0.000 0.000 6.198
! * DFT formation energy: -0.3109 eV/atom

V values (in Å³ per atom) by entry order: 29.00; 20.22; 23.06; 27.88.